Record 1
Below is a geometry-optimized Dy7RuI12 structure, with properties calculated at the PBE level.

Cell lengths 9.8052, 9.8052, 9.8052 Å; angles 106.91, 106.91, 106.91 degrees
Sites, in units of the cell vectors:
Dy 0.0000 0.0000 0.0000
Dy 0.2065 0.4800 0.4071
Dy 0.4071 0.2065 0.4800
Dy 0.4800 0.4071 0.2065
Dy 0.5200 0.5929 0.7935
Dy 0.5929 0.7935 0.5200
Dy 0.7935 0.5200 0.5929
Ru 0.5000 0.5000 0.5000
I 0.0384 0.1157 0.3379
I 0.1157 0.3379 0.0384
I 0.1762 0.5720 0.7245
I 0.2755 0.8238 0.4280
I 0.3379 0.0384 0.1157
I 0.4280 0.2755 0.8238
I 0.5720 0.7245 0.1762
I 0.6621 0.9616 0.8843
I 0.7245 0.1762 0.5720
I 0.8238 0.4280 0.2755
I 0.8843 0.6621 0.9616
I 0.9616 0.8843 0.6621

Results
- ΔE_f (raw) (meV per atom) = -1197.6
- total moment (μB/atom) = 0.04
- mass density (g/cm3) = 5.83
- symmetry = R-3



Record 2
Below is a geometry-optimized DyThRuI structure, with properties calculated at the PBE level.

Cell lengths 8.4905, 8.4905, 8.4905 Å; angles 28.00, 28.00, 28.00 degrees
Sites, in units of the cell vectors:
Dy 0.0000 0.0000 0.0000
Th 0.2141 0.2141 0.2141
Ru 0.6033 0.6033 0.6033
I 0.7696 0.7696 0.7696

Results
- ΔE_f (raw) (meV per atom) = -718.3
- total moment (μB/atom) = 0.00
- mass density (g/cm3) = 8.68
- symmetry = R3m